1.
! PBE-GGA PmSm6HoTm2, optimized geometry; values from VASP
! * D(E_F): 28.987 states/eV per cell
! * uncorrected energy: -90.81 eV/cell
&SYSTEM
  ibrav = 0, nat = 20, ntyp = 4
/
ATOMIC_SPECIES
Sm 150.36 Sm.upf
Tm 168.93 Tm.upf
Pm 145.00 Pm.upf
Ho 164.93 Ho.upf
CELL_PARAMETERS angstrom
9.144 -1.931 -2.004
0.823 8.604 -1.976
0.823 -2.294 8.525
ATOMIC_POSITIONS crystal
Sm 0.684 0.010 0.560
Tm 0.452 0.798 0.698
Sm 0.117 0.707 0.486
Sm 0.445 0.241 0.884
Sm 0.316 0.990 0.440
Sm 0.383 0.514 0.293
Sm 0.816 0.440 0.990
Pm 0.250 0.970 0.030
Sm 0.555 0.759 0.116
Sm 0.055 0.116 0.759
Pm 0.750 0.030 0.970
Sm 0.945 0.884 0.241
Tm 0.548 0.202 0.302
Ho 0.250 0.411 0.589
Ho 0.750 0.589 0.411
Sm 0.617 0.486 0.707
Sm 0.184 0.560 0.010
Tm 0.952 0.698 0.798
Sm 0.883 0.293 0.514
Tm 0.048 0.302 0.202


2.
! PBE-GGA SrLi3Te, optimized geometry; values from VASP
! * formation energy from raw total energies: -34 kJ/mol of atoms
! * D(E_F): 3.244 states/eV per cell
! * offset from the most stable computed form: 0.0 meV per atom
&SYSTEM
  ibrav = 0, nat = 5, ntyp = 3
/
ATOMIC_SPECIES
Li 6.94 Li.upf
Te 127.60 Te.upf
Sr 87.62 Sr.upf
CELL_PARAMETERS angstrom
5.356 0.000 0.000
0.000 5.356 0.000
0.000 0.000 5.356
ATOMIC_POSITIONS crystal
Li 0.000 0.500 0.000
Te 0.000 0.000 0.000
Sr 0.500 0.500 0.500
Li 0.000 0.000 0.500
Li 0.500 0.000 0.000


3.
! PBE-GGA Na2CuIrO, optimized geometry; values from VASP
! * formation energy from raw total energies: 96 kJ/mol of atoms
! * D(E_F): 4.312 states/eV per cell
&SYSTEM
  ibrav = 0, nat = 5, ntyp = 4
/
ATOMIC_SPECIES
Cu 63.55 Cu.upf
O 16.00 O.upf
Na 22.99 Na.upf
Ir 192.22 Ir.upf
CELL_PARAMETERS angstrom
5.198 0.000 0.000
0.000 4.597 0.000
0.000 0.000 5.198
ATOMIC_POSITIONS crystal
Cu 0.000 0.000 0.000
O 0.500 0.500 0.500
Na 0.000 0.000 0.500
Na 0.500 0.000 0.000
Ir 0.000 0.500 0.000


4.
! PBE-GGA TlAgSe2, optimized geometry; values from VASP
! * formation energy from raw total energies: -11 kJ/mol of atoms
! * D(E_F): 1.663 states/eV per cell
&SYSTEM
  ibrav = 0, nat = 4, ntyp = 3
/
ATOMIC_SPECIES
Ag 107.87 Ag.upf
Se 78.96 Se.upf
Tl 204.38 Tl.upf
CELL_PARAMETERS angstrom
-2.252 -0.016 3.161
2.986 -1.286 2.120
1.833 6.463 1.339
ATOMIC_POSITIONS crystal
Ag 0.500 0.500 0.901
Se 0.000 0.000 0.847
Se 0.500 0.500 0.310
Tl 0.000 0.000 0.442


5.
! PBE-GGA Sc2NbInRu, optimized geometry; values from VASP
! * D(E_F): 6.974 states/eV per cell
! * uncorrected energy: -27.31 eV/cell
&SYSTEM
  ibrav = 0, nat = 5, ntyp = 4
/
ATOMIC_SPECIES
In 114.82 In.upf
Sc 44.96 Sc.upf
Ru 101.07 Ru.upf
Nb 92.91 Nb.upf
CELL_PARAMETERS angstrom
-1.342 -4.280 2.406
4.844 -0.838 1.210
-0.625 2.622 4.317
ATOMIC_POSITIONS crystal
In 0.000 0.000 0.000
Sc 0.000 0.000 0.500
Ru 0.500 0.500 0.500
Sc 0.500 0.000 0.000
Nb 0.000 0.500 0.000


6.
! PBE-GGA Na2NiRh2S6, optimized geometry; values from VASP
! * formation energy from raw total energies: -59 kJ/mol of atoms
&SYSTEM
  ibrav = 0, nat = 11, ntyp = 4
/
ATOMIC_SPECIES
S 32.06 S.upf
Na 22.99 Na.upf
Ni 58.69 Ni.upf
Rh 102.91 Rh.upf
CELL_PARAMETERS angstrom
-4.556 -1.102 -3.973
5.709 -1.877 -1.280
-1.582 -4.624 4.701
ATOMIC_POSITIONS crystal
S 0.260 0.260 0.317
Na 0.833 0.167 0.000
Ni 0.000 0.000 0.500
S 0.061 0.385 0.682
S 0.615 0.939 0.318
Na 0.167 0.833 0.000
Rh 0.668 0.332 0.500
S 0.385 0.061 0.682
S 0.939 0.615 0.318
S 0.740 0.740 0.683
Rh 0.332 0.668 0.500